Record 1
# Nd4SmAl5

An optimized crystal structure of Nd4SmAl5 (GGA-PBE, the Alexandria database).

abc: 3.722 3.722 18.553
angles: 90.00 90.00 90.00
Space group P4/mmm (No. 123)
Inequivalent atoms, fractional coordinates:
Nd  0.000  0.000  0.101 (multiplicity 2)
Nd  0.000  0.000  0.302 (multiplicity 2)
Sm  0.000  0.000  0.500 (multiplicity 1)
Al  0.500  0.500  0.000 (multiplicity 1)
Al  0.500  0.500  0.201 (multiplicity 2)
Al  0.500  0.500  0.403 (multiplicity 2)

Formation energy ... -8.240 kcal/mol of atoms


Record 2
# Ce2SbS5Br

An optimized crystal structure of Ce2SbS5Br (GGA-PBE, the Alexandria database).

abc: 8.867 5.478 17.769
angles: 90.00 90.00 90.00
Space group Pnma (No. 62)
Inequivalent atoms, fractional coordinates:
Ce  0.156  0.250  0.200 (multiplicity 4)
Ce  0.222  0.250  0.470 (multiplicity 4)
Sb  0.015  0.250  0.671 (multiplicity 4)
S  0.019  0.750  0.656 (multiplicity 4)
S  0.075  0.750  0.458 (multiplicity 4)
S  0.154  0.560  0.827 (multiplicity 8)
S  0.213  0.750  0.143 (multiplicity 4)
Br  0.097  0.250  0.029 (multiplicity 4)

Raw formation energy ... -1084 kJ/mol of formula units


Record 3
# SrMnOs

An optimized crystal structure of SrMnOs (GGA-PBE, the Alexandria database).

abc: 6.758 6.758 6.758
angles: 90.00 90.00 90.00
Space group F-43m (No. 216)
Inequivalent atoms, fractional coordinates:
Sr  0.000  0.000  0.000 (multiplicity 4)
Mn  0.250  0.250  0.250 (multiplicity 4)
Os  0.250  0.250  0.750 (multiplicity 4)

Energy above the most stable polymorph in this dataset ... 1561 meV/atom
Formation energy ... 46.418 kcal/mol of atoms